# BaGaNF2 PBE-GGA optimized geometry
# Electronic total energy: -4.41 eV per atom
# Density of states at the Fermi level: 1.9 states/eV/cell
# Crystal system: tetragonal
# Formation energy (no corrections): -1.006 eV per atom
# E above lowest polymorph: 911 meV/atom
data_BaGaNF2
_chemical_formula_sum 'Ba1 Ga1 N1 F2'
_symmetry_space_group_name_H-M 'P 4/m m m'
_symmetry_Int_Tables_number 123
_symmetry_space_group_name_Hall '-P 4 2'
_cell_length_a 5.0165
_cell_length_b 5.0165
_cell_length_c 5.5105
_cell_angle_alpha 90.00
_cell_angle_beta 90.00
_cell_angle_gamma 90.00
loop_
_atom_site_label
_atom_site_fract_x
_atom_site_fract_y
_atom_site_fract_z
Ba1 0.0000 0.0000 0.0000
Ga1 0.5000 0.5000 0.5000
N1 0.0000 0.0000 0.5000
F1 0.0000 0.5000 0.0000